The following is a meta-GGA SCAN calculation of a PBEsol-optimized structure of ZrTlTe2, from the Alexandria database.

Cell: 5.234 5.234 5.234 Å, 60.00 60.00 60.00°
Each line ends with the local moment (μB).
Fractional positions:
1 Te 0.000 0.000 0.000  -0.09
2 Te 0.750 0.750 0.750  -0.11
3 Tl 0.500 0.500 0.500  0.09
4 Zr 0.250 0.250 0.250  0.70

Results
space-group type	No. 216
crystal system	cubic
M_tot	1.08	Bohr magnetons per cell
uncorrected formation energy	145	meV/atom